The following is a PBE calculation of a relaxed structure of CaCuSi2, from the Alexandria database.

Cell: 3.9194 3.9194 5.9676 Å, 70.17 70.17 61.39°
Closest atoms and distances in Å follow each position.
Element x y z (fractional)
Ca: 0.7500 0.7500 0.7500  6 Si 3.01-3.02
Si: 0.5392 0.5392 0.3889  3 Cu 2.40, 1 Si 2.67
Si: 0.9608 0.9608 0.1111  3 Cu 2.40, 1 Si 2.67
Cu: 0.2500 0.2500 0.2500  6 Si 2.40

The volume comes out at 74 Å³/cell. The formation energy without anion corrections comes out at -26.62 kJ per mole of atoms. As for the density of states at the Fermi level: 0.89 states/eV/cell. As for the space-group type: C2/m, No. 12.